(1)
This record from Alexandria via LeMat-Bulk describes an optimized crystal structure of Li2SnSeO. The functional is GGA-PBE.

Density of states at the Fermi level   0.03 states/eV per atom
Energy relative to the elements, uncorrected   -558 kJ/mol of formula units

Cell lengths 4.2026, 4.2026, 4.7880 Å; angles 90.00, 90.00, 90.00 degrees
Closest atoms and distances in Å follow each position.
Space group P4/mmm (No. 123)
Symmetry-distinct sites (fractional):
1 Li 0.0000 0.5000 0.0000  2 O 2.10
2 Sn 0.0000 0.0000 0.5000  2 O 2.39
3 Se 0.5000 0.5000 0.5000  4 Sn 2.97, 8 Li 3.19
4 O 0.0000 0.0000 0.0000  4 Li 2.10



(2)
This record from Alexandria via LeMat-Bulk describes an optimized crystal structure of TlFeTc2. The functional is GGA-PBE.

Density of states at the Fermi level   0.93 states/eV per atom
ΔE_f   0.53 eV/atom

Cell lengths 9.1000, 3.0167, 4.8225 Å; angles 90.00, 103.37, 90.00 degrees
Closest atoms and distances in Å follow each position.
Space group Cm (No. 8)
Symmetry-distinct sites (fractional):
1 Tl 0.0000 0.0000 0.0000  3 Fe 2.79-2.84, 7 Tc 2.84-2.97, 2 Tl 3.02
2 Fe 0.2412 0.0000 0.7332  4 Tc 2.52-2.66, 1 Tl 2.79
3 Tc 0.0036 0.5000 0.5014  3 Tc 2.62-2.70, 3 Fe 2.66-2.86, 4 Tl 2.84
4 Tc 0.2649 0.5000 0.3262  2 Fe 2.52, 3 Tc 2.62-2.70



(3)
This record from Alexandria via LeMat-Bulk describes an optimized crystal structure of SrCoSb2. The functional is GGA-PBE.

Density of states at the Fermi level   1.46 states/eV per atom
Energy relative to the elements, uncorrected   90 kJ/mol of formula units

Cell lengths 7.4050, 7.4050, 7.4050 Å; angles 90.00, 90.00, 90.00 degrees
Closest atoms and distances in Å follow each position.
Space group F-43m (No. 216)
Symmetry-distinct sites (fractional):
1 Sr 0.0000 0.0000 0.0000  4 Co 3.21, 4 Sb 3.21
2 Co 0.2500 0.2500 0.7500  4 Sb 3.21, 4 Sr 3.21
3 Sb 0.0000 0.0000 0.5000  4 Sb 3.21, 4 Co 3.21
4 Sb 0.2500 0.2500 0.2500  4 Sb 3.21, 4 Sr 3.21



(4)
This record from Alexandria via LeMat-Bulk describes an optimized crystal structure of MgCdIn2Pt. The functional is GGA-PBE.

Density of states at the Fermi level   0.41 states/eV per atom
ΔE_f   -0.20 eV/atom

Cell lengths 5.1912, 5.1912, 5.1205 Å; angles 90.00, 90.00, 90.00 degrees
Closest atoms and distances in Å follow each position.
Space group P4/mmm (No. 123)
Symmetry-distinct sites (fractional):
1 Mg 0.0000 0.0000 0.0000  2 Pt 2.56
2 Cd 0.5000 0.5000 0.0000  8 In 3.65, 4 Mg 3.67
3 In 0.0000 0.5000 0.5000  2 Pt 2.60
4 Pt 0.0000 0.0000 0.5000  2 Mg 2.56, 4 In 2.60